Entry 1:
An optimized crystal structure of KRb2MoBr6. Source: the Alexandria database, functional PBE.

Computed properties:
For the formation energy (no corrections), the calculation gives -1.256 eV per atom. For the energy above the lowest structure with this stoichiometry, the calculation gives 0 meV/atom. The value obtained for the raw total energy is -3.6456 eV per atom.

abc: 7.7231 7.7231 46.7841
angles: 90.00 90.00 120.00
Space group R-3m (No. 166, hexagonal axes)
Unique sites:
K 0.0000 0.0000 0.0851 (multiplicity 6)
Rb 0.0000 0.0000 0.1905 (multiplicity 6)
Rb 0.0000 0.0000 0.3581 (multiplicity 6)
Mo 0.0000 0.0000 0.0000 (multiplicity 3)
Mo 0.0000 0.0000 0.5000 (multiplicity 3)
Br 0.0129 0.5065 0.6340 (multiplicity 18)
Br 0.0160 0.5080 0.1995 (multiplicity 18)

---

Entry 2:
An optimized crystal structure of KRb2MoBr6. Source: the Alexandria database, functional PBE.

Computed properties:
For the formation energy (no corrections), the calculation gives -1.239 eV per atom. For the energy above the lowest structure with this stoichiometry, the calculation gives 17 meV/atom. The value obtained for the raw total energy is -3.6289 eV per atom.

abc: 11.465 11.465 11.465
angles: 90.00 90.00 90.00
Space group Fm-3m (No. 225)
Unique sites:
K 0.000 0.000 0.000 (multiplicity 4)
Rb 0.250 0.250 0.250 (multiplicity 8)
Mo 0.000 0.000 0.500 (multiplicity 4)
Br 0.000 0.000 0.273 (multiplicity 24)

---

Entry 3:
An optimized crystal structure of KMoSeBr2. Source: the Alexandria database, functional PBE.

Computed properties:
For the formation energy (no corrections), the calculation gives 0.830 eV per atom. For the energy above the lowest structure with this stoichiometry, the calculation gives 1424 meV/atom. The value obtained for the raw total energy is -2.9222 eV per atom.

abc: 5.825 5.825 5.844
angles: 90.00 90.00 90.00
Space group P4/mmm (No. 123)
Unique sites:
K 0.000 0.000 0.000 (multiplicity 1)
Mo 0.500 0.500 0.500 (multiplicity 1)
Se 0.000 0.000 0.500 (multiplicity 1)
Br 0.000 0.500 0.000 (multiplicity 2)

---

Entry 4:
An optimized crystal structure of KMoSeBr2. Source: the Alexandria database, functional PBE.

Computed properties:
For the formation energy (no corrections), the calculation gives -0.594 eV per atom. For the energy above the lowest structure with this stoichiometry, the calculation gives 0 meV/atom. The value obtained for the raw total energy is -4.3457 eV per atom.

abc: 5.517 5.517 4.911
angles: 90.00 90.00 90.00
Space group P4/mmm (No. 123)
Unique sites:
K 0.000 0.000 0.000 (multiplicity 1)
Mo 0.500 0.500 0.500 (multiplicity 1)
Se 0.500 0.500 0.000 (multiplicity 1)
Br 0.000 0.500 0.500 (multiplicity 2)

---

Entry 5:
An optimized crystal structure of KTiMoBr2. Source: the Alexandria database, functional PBE.

Computed properties:
For the formation energy (no corrections), the calculation gives 1.234 eV per atom. The value obtained for the raw total energy is -3.4000 eV per atom.

abc: 5.769 5.769 6.035
angles: 90.00 90.00 90.00
Space group P4/mmm (No. 123)
Unique sites:
K 0.000 0.000 0.000 (multiplicity 1)
Ti 0.500 0.500 0.500 (multiplicity 1)
Mo 0.000 0.000 0.500 (multiplicity 1)
Br 0.000 0.500 0.000 (multiplicity 2)

---

Entry 6:
An optimized crystal structure of KTi2MoBr. Source: the Alexandria database, functional PBE.

Computed properties:
For the formation energy (no corrections), the calculation gives 2.257 eV per atom. The value obtained for the raw total energy is -3.6217 eV per atom.

abc: 4.631 4.631 5.327
angles: 90.00 90.00 90.00
Space group P4/mmm (No. 123)
Unique sites:
K 0.000 0.000 0.000 (multiplicity 1)
Ti 0.000 0.500 0.000 (multiplicity 2)
Mo 0.500 0.500 0.500 (multiplicity 1)
Br 0.000 0.000 0.500 (multiplicity 1)